A plane-wave DFT calculation with GGA+U was carried out for an optimized crystal structure of Rb2TiV3P3O18.

Cell lengths 13.7979, 13.7979, 9.6088 Å; angles 90.00, 90.00, 120.00 degrees
Closest atoms and distances in Å follow each position.
Space group P6cc (No. 184)
One atom of each set of equivalent atoms:
Rb 0.0000 0.0000 0.0000 (multiplicity 2)  6 O 3.08
Rb 0.0000 0.5000 0.4278 (multiplicity 6)  8 O 2.94-3.23
Ti 0.3333 0.6667 0.4199 (multiplicity 4)  6 O 1.95-1.96
V 0.0302 0.2641 0.2192 (multiplicity 12)  1 O 1.62
P 0.1935 0.4753 0.6696 (multiplicity 12)  4 O 1.54-1.55
O 0.0289 0.2676 0.3878 (multiplicity 12)  1 V 1.62
O 0.0650 0.3936 0.6699 (multiplicity 12)  1 P 1.55
O 0.0876 0.2154 0.6744 (multiplicity 12)  2 V 1.82-1.83
O 0.1528 0.4154 0.1661 (multiplicity 12)  1 P 1.54
O 0.2189 0.5501 0.5392 (multiplicity 12)  1 P 1.55
O 0.2204 0.5482 0.8027 (multiplicity 12)  1 P 1.55

Values from the calculation:
Final energy in eV per atom: -7.32